1.
Material: LiAs3Pd3
Method: DFT, PBE-GGA
State: relaxed

Total energy (eV per atom): -4.58
Magnetization (μB/atom): 0.000

Unit cell a=6.904 b=6.904 c=6.904 alpha=90.00 beta=90.00 gamma=90.00
Space group Pm-3n (No. 223)
Symmetry-distinct sites (fractional):
1 Li 0.000 0.000 0.000
2 As 0.000 0.250 0.500
3 Pd 0.000 0.500 0.250

---

2.
Material: CsAlPO2
Method: DFT, PBE-GGA
State: relaxed

Magnetization (μB/atom): 0.143
Formation energy (no corrections) (eV per atom): 0.884

Unit cell a=4.183 b=4.183 c=7.012 alpha=90.00 beta=90.00 gamma=90.00
Space group P4/mmm (No. 123)
Symmetry-distinct sites (fractional):
1 Cs 0.000 0.000 0.000
2 Al 0.500 0.500 0.500
3 P 0.000 0.000 0.500
4 O 0.000 0.500 0.000

---

3.
Material: ErTl2Sn
Method: DFT, PBE-GGA
State: relaxed

Total energy (eV per atom): -3.21
Magnetization (μB/atom): 0.000

Unit cell a=3.5305 b=3.5305 c=34.2702 alpha=90.00 beta=90.00 gamma=120.00
Space group R-3m (No. 166, hexagonal axes)
Symmetry-distinct sites (fractional):
1 Er 0.0000 0.0000 0.0000
2 Tl 0.0000 0.0000 0.0903
3 Sn 0.0000 0.0000 0.5000

---

4.
Material: LiP2Br
Method: DFT, PBE-GGA
State: relaxed

Magnetization (μB/atom): 0.000
Formation energy (no corrections) (eV per atom): -0.461

Unit cell a=3.829 b=3.274 c=8.643 alpha=90.00 beta=96.26 gamma=90.00
Space group Pm (No. 6)
Symmetry-distinct sites (fractional):
1 Li 0.000 0.000 0.000
2 P 0.000 0.000 0.315
3 P 0.938 0.500 0.470
4 Br 0.483 0.500 0.938